[1]
# Nd4Ho3S8

A relaxed Nd4Ho3S8 crystal (PBE, Alexandria).

Output
DOS at the Fermi energy = 6.5 states/eV per cell
space-group type = C2/m, No. 12
raw total energy = -96.06 eV/cell

Cell and atoms, written as CIF:
```
data_Nd4Ho3S8
_space_group_name_H-M_alt 'P 1'
_space_group_IT_number 1
_cell_length_a 7.957
_cell_length_b 7.957
_cell_length_c 7.946
_cell_angle_alpha 119.91
_cell_angle_beta 119.91
_cell_angle_gamma 90.04
loop_
_space_group_symop_operation_xyz
'x,y,z'
loop_
_atom_site_label
_atom_site_fract_x
_atom_site_fract_y
_atom_site_fract_z
Nd1 0.000 0.000 0.000
Nd2 0.000 0.500 0.000
Nd3 0.500 0.000 0.000
Nd4 0.500 0.500 0.500
Ho1 0.000 0.500 0.500
Ho2 0.500 0.000 0.500
Ho3 0.500 0.500 0.000
S1 0.246 0.754 0.500
S2 0.251 0.251 0.511
S3 0.252 0.252 0.992
S4 0.255 0.745 0.000
S5 0.745 0.255 0.000
S6 0.748 0.748 0.008
S7 0.749 0.749 0.489
S8 0.754 0.246 0.500
```

***

[2]
# Nd2HoS4

A relaxed Nd2HoS4 crystal (PBE, Alexandria).

Output
DOS at the Fermi energy = 3.9 states/eV per cell
space-group type = Imma, No. 74
raw total energy = -89.43 eV/cell

Cell and atoms, written as CIF:
```
data_Nd2HoS4
_space_group_name_H-M_alt 'P 1'
_space_group_IT_number 1
_cell_length_a 7.971
_cell_length_b 7.971
_cell_length_c 7.971
_cell_angle_alpha 120.02
_cell_angle_beta 118.82
_cell_angle_gamma 91.01
loop_
_space_group_symop_operation_xyz
'x,y,z'
loop_
_atom_site_label
_atom_site_fract_x
_atom_site_fract_y
_atom_site_fract_z
Nd1 0.000 0.000 0.000
Nd2 0.500 0.000 0.000
Nd3 0.500 0.000 0.500
Nd4 0.500 0.500 0.500
Ho1 0.000 0.000 0.500
Ho2 0.000 0.500 0.000
S1 0.236 0.745 0.490
S2 0.245 0.241 0.496
S3 0.245 0.255 0.990
S4 0.245 0.749 0.004
S5 0.755 0.251 0.996
S6 0.755 0.745 0.010
S7 0.755 0.759 0.504
S8 0.764 0.255 0.510
```

***

[3]
# Nd3HoSc2S6

A relaxed Nd3HoSc2S6 crystal (PBE, Alexandria).

Output
DOS at the Fermi energy = 5.0 states/eV per cell
space-group type = C2/m, No. 12
raw total energy = -79.74 eV/cell

Cell and atoms, written as CIF:
```
data_Nd3HoSc2S6
_space_group_name_H-M_alt 'P 1'
_space_group_IT_number 1
_cell_length_a 6.715
_cell_length_b 6.715
_cell_length_c 6.909
_cell_angle_alpha 99.33
_cell_angle_beta 99.33
_cell_angle_gamma 120.17
loop_
_space_group_symop_operation_xyz
'x,y,z'
loop_
_atom_site_label
_atom_site_fract_x
_atom_site_fract_y
_atom_site_fract_z
Nd1 0.000 0.000 0.000
Nd2 0.336 0.664 0.000
Nd3 0.664 0.336 0.000
Ho1 0.500 0.500 0.500
Sc1 0.167 0.833 0.500
Sc2 0.833 0.167 0.500
S1 0.084 0.425 0.276
S2 0.232 0.232 0.721
S3 0.425 0.084 0.276
S4 0.575 0.916 0.724
S5 0.768 0.768 0.279
S6 0.916 0.575 0.724
```

***

Q: Which of these has the highest DOS at the Fermi energy?
A: Nd4Ho3S8

***

Q: Which value of raw total energy does entry 3 give?
A: -79.74 eV/cell

***

Repeat the first record exactly.
# Nd4Ho3S8

A relaxed Nd4Ho3S8 crystal (PBE, Alexandria).

Output
DOS at the Fermi energy = 6.5 states/eV per cell
space-group type = C2/m, No. 12
raw total energy = -96.06 eV/cell

Cell and atoms, written as CIF:
```
data_Nd4Ho3S8
_space_group_name_H-M_alt 'P 1'
_space_group_IT_number 1
_cell_length_a 7.957
_cell_length_b 7.957
_cell_length_c 7.946
_cell_angle_alpha 119.91
_cell_angle_beta 119.91
_cell_angle_gamma 90.04
loop_
_space_group_symop_operation_xyz
'x,y,z'
loop_
_atom_site_label
_atom_site_fract_x
_atom_site_fract_y
_atom_site_fract_z
Nd1 0.000 0.000 0.000
Nd2 0.000 0.500 0.000
Nd3 0.500 0.000 0.000
Nd4 0.500 0.500 0.500
Ho1 0.000 0.500 0.500
Ho2 0.500 0.000 0.500
Ho3 0.500 0.500 0.000
S1 0.246 0.754 0.500
S2 0.251 0.251 0.511
S3 0.252 0.252 0.992
S4 0.255 0.745 0.000
S5 0.745 0.255 0.000
S6 0.748 0.748 0.008
S7 0.749 0.749 0.489
S8 0.754 0.246 0.500
```

***

What did the second record say?
# Nd2HoS4

A relaxed Nd2HoS4 crystal (PBE, Alexandria).

Output
DOS at the Fermi energy = 3.9 states/eV per cell
space-group type = Imma, No. 74
raw total energy = -89.43 eV/cell

Cell and atoms, written as CIF:
```
data_Nd2HoS4
_space_group_name_H-M_alt 'P 1'
_space_group_IT_number 1
_cell_length_a 7.971
_cell_length_b 7.971
_cell_length_c 7.971
_cell_angle_alpha 120.02
_cell_angle_beta 118.82
_cell_angle_gamma 91.01
loop_
_space_group_symop_operation_xyz
'x,y,z'
loop_
_atom_site_label
_atom_site_fract_x
_atom_site_fract_y
_atom_site_fract_z
Nd1 0.000 0.000 0.000
Nd2 0.500 0.000 0.000
Nd3 0.500 0.000 0.500
Nd4 0.500 0.500 0.500
Ho1 0.000 0.000 0.500
Ho2 0.000 0.500 0.000
S1 0.236 0.745 0.490
S2 0.245 0.241 0.496
S3 0.245 0.255 0.990
S4 0.245 0.749 0.004
S5 0.755 0.251 0.996
S6 0.755 0.745 0.010
S7 0.755 0.759 0.504
S8 0.764 0.255 0.510
```